Computed, not measured: NaCu2AgSe2 after structural relaxation at the PBE level of DFT.

```
NaCu2AgSe2
1.0
4.127 0.000 0.000
-2.064 3.574 0.000
0.000 0.000 7.901
Na Cu Ag Se
1 2 1 2
direct
0.000 0.000 0.000
0.333 0.667 0.306
0.667 0.333 0.694
0.000 0.000 0.500
0.333 0.667 0.750
0.667 0.333 0.250
```

Properties
Total DFT energy (no corrections): -21.37 eV per formula unit
Spin magnetization: 0.00 μB/f.u.
Energy relative to the elements, uncorrected: -339 meV/atom